First-principles (PBE) data for crystalline Nd2MgZn4Ag3 at its relaxed geometry, as listed in Alexandria.

a b c (Å): 4.1687 4.1687 12.1200
angles (deg): 90.00 90.00 90.00
Last column: nearest neighbours and their distance in Å.
Space group P-4m2 (No. 115)
Symmetry-distinct sites (fractional):
Nd: 0.0000 0.5000 0.2453 (multiplicity 2)  4 Ag 3.22, 4 Zn 3.23
Mg: 0.0000 0.0000 0.5000 (multiplicity 1)  4 Zn 2.74, 4 Ag 2.95
Zn: 0.0000 0.0000 0.0000 (multiplicity 1)  4 Ag 2.67, 4 Zn 2.95
Zn: 0.0000 0.5000 0.6464 (multiplicity 2)  3 Ag 2.61-2.74, 2 Mg 2.74
Zn: 0.5000 0.5000 0.0000 (multiplicity 1)  4 Ag 2.67, 4 Zn 2.95
Ag: 0.0000 0.5000 0.8618 (multiplicity 2)  5 Zn 2.61-2.67
Ag: 0.5000 0.5000 0.5000 (multiplicity 1)  4 Zn 2.74, 4 Mg 2.95

Calculated values
formation energy from the elements	-0.239	eV/atom